CdSbTe2Cl | PBE | relaxed

The structure belongs to space group P4/mmm (No. 123); the cell edges are 5.5352, 5.5352 and 5.6870 Å and the angles 90.00°, 90.00° and 90.00°. The asymmetric unit holds Cd at (0.0000, 0.0000, 0.0000), Sb at (0.0000, 0.0000, 0.5000), Te at (0.0000, 0.5000, 0.0000) and Cl at (0.5000, 0.5000, 0.5000).

As for the spin magnetization: 0.00 μB/f.u. The density of states at the Fermi level is 4.745 states/eV/f.u. The formation energy (no corrections) comes out at 0.538 eV/atom.